DFT (GGA-PBE) results for a geometry-optimized Ba8BiIr2 structure.

It has space group P-3m1 (No. 164), with a = 9.5871 Å, b = 9.5871 Å, c = 8.0015 Å, α = 90.00°, β = 90.00° and γ = 120.00°. The asymmetric unit holds Ba at (0.1718, 0.3436, 0.2588), Ba at (0.3333, 0.6667, 0.7650), Bi at (0.0000, 0.0000, 0.0000) and Ir at (0.3333, 0.6667, 0.1213).

For the total magnetization, the calculation gives 0.000 μB per cell. The value obtained for the final energy is -3.4354 eV per atom. Its density of states at the Fermi level is 6.25 states/eV/f.u. For the formation energy, the calculation gives -73 meV per atom.